No. 1
DFT (SCAN) results for Sr2Y2Cu2O7 at its PBEsol-relaxed geometry.

```
Sr2Y2Cu2O7
1.0
-3.954 3.497 0.576
-2.497 -3.367 3.302
9.024 4.931 7.539
Sr Y Cu O
4 4 4 14
Direct
0.115 0.148 0.282
0.833 0.852 0.718
0.333 0.366 0.718
0.615 0.634 0.282
0.468 0.500 0.000
0.968 0.000 0.000
0.266 0.787 0.500
0.766 0.213 0.500
0.537 0.069 0.138
0.399 0.931 0.862
0.899 0.431 0.862
0.037 0.569 0.138
0.184 0.191 0.500
0.684 0.809 0.500
0.777 0.307 0.117
0.660 0.693 0.883
0.160 0.690 0.883
0.277 0.310 0.117
0.277 0.811 0.121
0.157 0.189 0.879
0.657 0.190 0.879
0.777 0.810 0.121
0.118 0.640 0.329
0.789 0.360 0.671
0.289 0.812 0.671
0.618 0.188 0.329
```

Values from the calculation:
Space-group type ... Ima2 (46)
Calculated density ... 5696 kg/m³
Calculated volume ... 345 Å³/cell
Total energy ... -16.0427 eV/atom
Crystal system ... orthorhombic
Formation energy from raw total energies ... -2.6386 eV per atom


No. 2
DFT (SCAN) results for Ca2HgRh at its PBEsol-relaxed geometry.

```
Ca2HgRh
1.0
3.460 0.000 0.000
0.000 3.463 0.000
0.000 0.000 7.386
Ca Rh Hg
2 1 1
Direct
0.000 0.000 0.720
0.000 0.000 0.280
0.500 0.500 0.500
0.500 0.500 0.000
```

Values from the calculation:
Space-group type ... P4/mmm (123)
Calculated density ... 7200 kg/m³
Calculated volume ... 88 Å³/cell
Total energy ... -30.8294 eV/atom
Crystal system ... tetragonal


No. 3
DFT (SCAN) results for RbCrO3 at its PBEsol-relaxed geometry.

```
RbCrO3
1.0
-1.605 2.636 -2.200
-3.364 -0.722 1.589
0.686 2.626 2.646
Cr O Rb
1 3 1
Direct
0.000 0.000 0.000
0.000 0.500 0.000
0.000 0.000 0.500
0.500 0.000 0.000
0.500 0.500 0.500
```

Values from the calculation:
Space-group type ... Pm-3m (221)
Calculated density ... 5656 kg/m³
Calculated volume ... 54 Å³/cell
Total energy ... -13.2462 eV/atom
Crystal system ... cubic
Formation energy from raw total energies ... -1.6827 eV per atom


Repeat the second record exactly.
DFT (SCAN) results for Ca2HgRh at its PBEsol-relaxed geometry.

```
Ca2HgRh
1.0
3.460 0.000 0.000
0.000 3.463 0.000
0.000 0.000 7.386
Ca Rh Hg
2 1 1
Direct
0.000 0.000 0.720
0.000 0.000 0.280
0.500 0.500 0.500
0.500 0.500 0.000
```

Values from the calculation:
Space-group type ... P4/mmm (123)
Calculated density ... 7200 kg/m³
Calculated volume ... 88 Å³/cell
Total energy ... -30.8294 eV/atom
Crystal system ... tetragonal


Which of these has the highest total energy? RbCrO3